Here is an optimized crystal structure of YCuSb2 from the Open Quantum Materials Database. Energies are from PBE-GGA.

Cell and atoms, written as POSCAR:
```
YCuSb2
1.0
-2.751 0.112 4.362
-1.526 4.516 1.972
-4.986 1.317 -0.128
Y Sb Cu
1 2 1
Cartesian
-4.631 2.972 3.103
0.000 0.000 0.000
-2.316 1.486 1.551
-6.947 4.458 4.654
```

Properties
Total magnetic moment = 0.0 μB/f.u.
Uncorrected energy = -0.1728 Ha/atom
Calculated volume = 97.1 Å³/cell

=====

Here is an optimized crystal structure of Dy2HoMg3AgAu2 from the Open Quantum Materials Database. Energies are from PBE-GGA.

Cell and atoms, written as POSCAR:
```
Dy2HoMg3AgAu2
1.0
3.971 0.000 0.000
0.000 6.701 3.870
0.000 -6.701 3.870
Au Ho Mg Ag Dy
2 1 3 1 2
Cartesian
1.985 2.227 3.873
1.985 -2.227 3.873
0.000 0.000 4.543
1.985 1.688 6.763
1.985 0.000 1.953
1.985 -1.688 6.763
0.000 0.000 7.738
0.000 2.769 1.599
0.000 -2.769 1.599
```

Properties
Total magnetic moment = 0.0 μB/f.u.
Uncorrected energy = -0.1339 Ha/atom
Calculated volume = 206.0 Å³/cell